(1)
A relaxed structure of Er2NiPd, computed with PBE. Values from VASP.

Structure (Quantum ESPRESSO input):
```
&SYSTEM
  ibrav = 0, nat = 8, ntyp = 3
/
ATOMIC_SPECIES
Er 167.26 Er.upf
Ni 58.69 Ni.upf
Pd 106.42 Pd.upf
CELL_PARAMETERS angstrom
-3.886 0.658 -1.773
-0.535 -5.402 -0.833
-2.739 1.854 6.690
ATOMIC_POSITIONS angstrom
Er -4.205 0.063 1.338
Er -2.955 -2.953 2.746
Er -1.572 -3.946 -0.653
Er -5.588 1.055 4.737
Ni -1.725 -1.289 0.669
Ni -5.434 -1.601 3.416
Pd -4.060 -2.554 0.050
Pd -3.099 -0.336 4.034
```

Values from the calculation:
**Crystal system**: monoclinic


(2)
A relaxed structure of Er6NiPd2, computed with PBE. Values from VASP.

Structure (Quantum ESPRESSO input):
```
&SYSTEM
  ibrav = 0, nat = 18, ntyp = 3
/
ATOMIC_SPECIES
Er 167.26 Er.upf
Ni 58.69 Ni.upf
Pd 106.42 Pd.upf
CELL_PARAMETERS angstrom
-5.983 -2.190 1.228
2.764 -5.344 3.936
-0.378 5.685 7.984
ATOMIC_POSITIONS angstrom
Er -2.519 -5.617 6.815
Er -3.287 -2.214 8.205
Er -3.485 -0.173 11.187
Er -3.662 0.783 6.043
Er -3.889 2.883 8.982
Er -2.692 -2.467 4.648
Er -1.078 3.768 6.333
Er -0.310 0.365 4.943
Er -0.113 -1.676 1.961
Er 0.064 -2.632 7.105
Er 0.292 -4.732 4.166
Er -0.905 0.618 8.501
Ni -1.610 -3.767 2.582
Ni -0.189 2.842 3.992
Pd -4.855 0.177 8.704
Pd -1.178 -1.720 10.112
Pd -2.420 -0.129 3.036
Pd 1.258 -2.026 4.444
```

Values from the calculation:
**Crystal system**: monoclinic


(3)
A relaxed structure of Er4Ni2Pd, computed with PBE. Values from VASP.

Structure (Quantum ESPRESSO input):
```
&SYSTEM
  ibrav = 0, nat = 7, ntyp = 3
/
ATOMIC_SPECIES
Er 167.26 Er.upf
Ni 58.69 Ni.upf
Pd 106.42 Pd.upf
CELL_PARAMETERS angstrom
-1.604 4.376 -1.049
-3.461 0.561 -3.245
-7.026 1.028 4.154
ATOMIC_POSITIONS angstrom
Er -7.101 4.701 -2.164
Er -4.990 1.264 2.023
Er -4.088 3.209 -2.118
Er -8.002 2.756 1.978
Ni -9.076 4.473 -0.097
Ni -3.015 1.492 -0.043
Pd 0.000 0.000 0.000
```

Values from the calculation:
**Crystal system**: trigonal


(4)
A relaxed structure of Er5NiPd4, computed with PBE. Values from VASP.

Structure (Quantum ESPRESSO input):
```
&SYSTEM
  ibrav = 0, nat = 10, ntyp = 3
/
ATOMIC_SPECIES
Er 167.26 Er.upf
Ni 58.69 Ni.upf
Pd 106.42 Pd.upf
CELL_PARAMETERS angstrom
-1.819 0.008 2.898
-1.634 -2.829 -1.018
12.313 -9.906 7.759
ATOMIC_POSITIONS angstrom
Er -0.580 -2.332 1.663
Er 1.925 -4.348 3.241
Er 4.430 -6.363 4.820
Er 6.934 -8.378 6.398
Er 9.440 -10.394 7.977
Ni 0.000 0.000 0.000
Pd 2.424 -1.950 1.528
Pd 4.905 -3.946 3.091
Pd 7.409 -5.960 4.668
Pd 9.889 -7.955 6.231
```

Values from the calculation:
**Crystal system**: tetragonal


(5)
A relaxed structure of Er4Ni2Pd, computed with PBE. Values from VASP.

Structure (Quantum ESPRESSO input):
```
&SYSTEM
  ibrav = 0, nat = 14, ntyp = 3
/
ATOMIC_SPECIES
Er 167.26 Er.upf
Ni 58.69 Ni.upf
Pd 106.42 Pd.upf
CELL_PARAMETERS angstrom
-0.338 7.375 -0.801
-6.363 -3.959 -2.997
1.048 -1.278 6.968
ATOMIC_POSITIONS angstrom
Er -1.815 4.884 0.039
Er -3.343 -0.430 -1.098
Er -3.739 3.673 2.498
Er -5.681 0.907 1.108
Er -0.428 2.450 1.965
Er -0.332 0.832 5.199
Er -2.855 0.115 2.830
Er -4.739 3.243 -1.207
Ni -1.620 3.154 4.282
Ni -5.639 0.723 -2.003
Ni -2.821 1.907 0.577
Ni -0.702 -1.389 3.302
Pd -4.442 -1.735 1.305
Pd -0.433 0.104 0.460
```

Values from the calculation:
**Crystal system**: triclinic


(6)
A relaxed structure of Er4NiPd, computed with PBE. Values from VASP.

Structure (Quantum ESPRESSO input):
```
&SYSTEM
  ibrav = 0, nat = 12, ntyp = 3
/
ATOMIC_SPECIES
Er 167.26 Er.upf
Ni 58.69 Ni.upf
Pd 106.42 Pd.upf
CELL_PARAMETERS angstrom
5.979 0.000 -3.050
-1.556 5.773 -3.050
0.304 0.397 7.983
ATOMIC_POSITIONS angstrom
Er 1.305 5.605 -2.164
Er 4.512 4.801 -3.264
Er 1.250 2.719 -0.214
Er 3.478 3.452 2.096
Er 0.216 1.370 5.146
Er 3.423 0.565 4.046
Er 0.272 4.257 3.196
Er 4.456 1.914 -1.314
Ni 1.258 1.642 2.466
Ni 3.470 4.529 -0.584
Pd 2.212 2.887 -3.050
Pd 0.000 0.000 0.000
```

Values from the calculation:
**Crystal system**: tetragonal


Number 1: energy -5.7239 eV per atom. Number 2: energy -5.3313 eV per atom. Number 3: energy -5.4649 eV per atom. Number 4: energy -5.7537 eV per atom. Number 5: energy -5.4911 eV per atom. Number 6: energy -5.2681 eV per atom.